[1]
{"formula": "Tb2Pr4Th", "functional": "PBE-GGA", "state": "optimized geometry", "cell": [[-4.988, 11.638, 0.043], [6.953, -8.971, -5.614], [-5.985, -3.468, 0.000]], "species": ["Th", "Th", "Pr", "Pr", "Pr", "Pr", "Pr", "Pr", "Pr", "Pr", "Tb", "Tb", "Tb", "Tb"], "frac_coords": [[0.228, 0.478, 0.500], [0.478, 0.228, 0.000], [0.703, 0.093, 0.585], [0.720, 0.184, 0.129], [0.341, 0.305, 0.372], [0.869, 0.758, 0.916], [0.305, 0.341, 0.872], [0.093, 0.703, 0.085], [0.758, 0.869, 0.416], [0.184, 0.720, 0.629], [0.782, 0.966, 0.956], [0.576, 0.260, 0.544], [0.260, 0.576, 0.044], [0.966, 0.782, 0.456]], "crystal_system": "orthorhombic", "mass_density_g_cm3": 7.63, "e_above_lowest_polymorph_mev_per_atom": 0.0, "formation_enthalpy_0k_mev_per_atom": 93.9}

***

[2]
{"formula": "Tb7Pr12Th", "functional": "PBE-GGA", "state": "optimized geometry", "cell": [[8.941, 0.476, 0.714], [-2.029, 8.721, 0.714], [-2.029, -2.700, 8.323]], "species": ["Pr", "Pr", "Pr", "Pr", "Pr", "Pr", "Pr", "Pr", "Pr", "Pr", "Pr", "Pr", "Th", "Tb", "Tb", "Tb", "Tb", "Tb", "Tb", "Tb"], "frac_coords": [[0.409, 0.409, 0.839], [0.742, 0.000, 0.258], [0.591, 0.591, 0.161], [0.161, 0.591, 0.591], [0.258, 0.742, 0.000], [0.591, 0.161, 0.591], [0.742, 0.258, 0.000], [0.409, 0.839, 0.409], [0.258, 0.000, 0.742], [0.000, 0.742, 0.258], [0.839, 0.409, 0.409], [0.000, 0.258, 0.742], [0.000, 0.000, 0.000], [0.852, 0.593, 0.852], [0.148, 0.407, 0.148], [0.852, 0.852, 0.593], [0.500, 0.500, 0.500], [0.407, 0.148, 0.148], [0.148, 0.148, 0.407], [0.593, 0.852, 0.852]], "crystal_system": "trigonal", "mass_density_g_cm3": 7.30, "e_above_lowest_polymorph_mev_per_atom": 0.0, "formation_enthalpy_0k_mev_per_atom": 98.6}